(1)
The following is a PBE-GGA calculation of MgTiBPt2 after structural relaxation, from the Alexandria database.

Unit cell a=4.214 b=4.308 c=4.214 alpha=90.00 beta=90.00 gamma=90.00
Positions (direct):
Pt  0.500  0.000  0.000
Pt  0.000  0.000  0.500
Ti  0.500  0.500  0.500
Mg  0.000  0.500  0.000
B  0.000  0.000  0.000

- SG = P4/mmm

---

(2)
The following is a PBE-GGA calculation of Er6MgTl after structural relaxation, from the Alexandria database.

Unit cell a=9.935 b=9.935 c=9.935 alpha=151.00 beta=151.00 gamma=41.48
Positions (direct):
Tl  0.500  0.500  0.000
Er  0.752  0.752  0.000
Er  0.882  0.382  0.500
Er  0.248  0.248  0.000
Er  0.118  0.618  0.500
Er  0.382  0.882  0.500
Er  0.618  0.118  0.500
Mg  0.000  0.000  0.000

- SG = I4/mmm

---

(3)
The following is a PBE-GGA calculation of Rb2NaSnAu after structural relaxation, from the Alexandria database.

Unit cell a=6.783 b=6.783 c=5.185 alpha=90.00 beta=90.00 gamma=90.00
Positions (direct):
Sn  0.000  0.000  0.500
Rb  0.000  0.500  0.000
Rb  0.500  0.000  0.000
Na  0.500  0.500  0.500
Au  0.000  0.000  0.000

- SG = P4/mmm

---

(4)
The following is a PBE-GGA calculation of CeSmDyAl after structural relaxation, from the Alexandria database.

Unit cell a=5.372 b=5.372 c=5.372 alpha=60.00 beta=60.00 gamma=60.00
Site moments in Bohr magnetons follow the coordinates.
Positions (direct):
Sm  0.000  0.000  0.000  0.01
Ce  0.500  0.500  0.500  0.32
Dy  0.750  0.750  0.750  0.08
Al  0.250  0.250  0.250  -0.01

- SG = F-43m

---

(5)
The following is a PBE-GGA calculation of PmDyErCd after structural relaxation, from the Alexandria database.

Unit cell a=5.472 b=5.472 c=5.472 alpha=60.00 beta=60.00 gamma=60.00
Positions (direct):
Cd  0.750  0.750  0.750
Er  0.250  0.250  0.250
Dy  0.500  0.500  0.500
Pm  0.000  0.000  0.000

- SG = F-43m
- energy above the lowest structure with this stoichiometry (eV/f.u.) = 0.47

---

(6)
The following is a PBE-GGA calculation of LiGeAu6 after structural relaxation, from the Alexandria database.

Unit cell a=8.136 b=8.136 c=8.136 alpha=149.48 beta=149.48 gamma=43.70
Positions (direct):
Au  0.616  0.116  0.500
Au  0.384  0.884  0.500
Au  0.884  0.384  0.500
Au  0.116  0.616  0.500
Au  0.251  0.251  0.000
Au  0.749  0.749  0.000
Li  0.500  0.500  0.000
Ge  0.000  0.000  0.000

- SG = I4/mmm
- energy above the lowest structure with this stoichiometry (eV/f.u.) = 0.00

---

(7)
The following is a PBE-GGA calculation of HoPuSn after structural relaxation, from the Alexandria database.

Unit cell a=3.501 b=4.252 c=10.448 alpha=78.26 beta=90.00 gamma=90.00
Site moments in Bohr magnetons follow the coordinates.
Positions (direct):
Pu  0.750  0.536  0.927  0.51
Pu  0.250  0.464  0.073  0.51
Ho  0.250  0.301  0.397  -0.07
Ho  0.750  0.699  0.603  -0.07
Sn  0.750  0.881  0.237  -0.01
Sn  0.250  0.119  0.763  -0.01

- SG = Cmcm
- energy above the lowest structure with this stoichiometry (eV/f.u.) = 0.95

---

(8)
The following is a PBE-GGA calculation of Sm2Ho after structural relaxation, from the Alexandria database.

Unit cell a=3.593 b=3.593 c=8.039 alpha=102.91 beta=102.91 gamma=90.00
Positions (direct):
Ho  0.000  0.000  0.000
Sm  0.335  0.335  0.669
Sm  0.665  0.665  0.331

- SG = I4/mmm
- energy above the lowest structure with this stoichiometry (eV/f.u.) = 0.00

---

Number 1: ΔH_f (0 K) -0.16 eV/atom, density of states at the Fermi level 4.15 states/eV per cell. Number 2: ΔH_f (0 K) -0.11 eV/atom, density of states at the Fermi level 8.48 states/eV per cell. Number 3: ΔH_f (0 K) -0.07 eV/atom, density of states at the Fermi level 2.78 states/eV per cell. Number 4: ΔH_f (0 K) -0.02 eV/atom, density of states at the Fermi level 8.35 states/eV per cell. Number 5: ΔH_f (0 K) -0.03 eV/atom, density of states at the Fermi level 5.32 states/eV per cell. Number 6: ΔH_f (0 K) -0.14 eV/atom, density of states at the Fermi level 1.60 states/eV per cell. Number 7: ΔH_f (0 K) -0.16 eV/atom, density of states at the Fermi level 10.26 states/eV per cell. Number 8: ΔH_f (0 K) 0.02 eV/atom, density of states at the Fermi level 4.04 states/eV per cell.